1.
# CrTe2N

An optimized crystal structure of CrTe2N (PBE, the Alexandria database).

Lattice parameters (Å, degrees): 5.5763 5.5763 6.7527 65.61 65.61 90.00
Last column: nearest neighbours and their distance in Å.
Positions (direct):
Te 0.3750 0.3983 0.7500  2 N 2.33, 2 Cr 2.48
Cr 0.7500 0.2500 0.5000  4 Te 2.48
N 0.2500 0.7500 0.5000  4 Te 2.33
Te 0.1483 0.6250 0.2500  2 N 2.33, 2 Cr 2.48
N 0.5000 0.5000 0.0000  4 Te 2.33
Te 0.6017 0.1250 0.2500  2 N 2.33, 2 Cr 2.48
Cr 0.0000 0.0000 0.0000  4 Te 2.48
Te 0.8750 0.8517 0.7500  2 N 2.33, 2 Cr 2.48

## Properties
ΔE_f (raw): 0.97 eV/atom
E_tot: -5.085 eV per atom
V: 21.31 A^3/atom
total magnetic moment: 0.003 μB per cell
N(E_F): 10.2 states/eV/cell

2.
# TlHIrPd2

An optimized crystal structure of TlHIrPd2 (PBE, the Alexandria database).

Lattice parameters (Å, degrees): 4.1419 4.1419 4.0336 90.00 90.00 90.00
Last column: nearest neighbours and their distance in Å.
Positions (direct):
Pd 0.0000 0.5000 0.0000  2 H 2.07
H 0.0000 0.0000 0.0000  2 Ir 2.02, 4 Pd 2.07
Ir 0.0000 0.0000 0.5000  2 H 2.02
Tl 0.5000 0.5000 0.5000  8 Pd 2.89, 4 Ir 2.93
Pd 0.5000 0.0000 0.0000  2 H 2.07

## Properties
E_tot: -4.956 eV per atom
V: 13.84 A^3/atom
total magnetic moment: 0.000 μB per cell
N(E_F): 3.2 states/eV/cell

3.
# Na4AgPt

An optimized crystal structure of Na4AgPt (PBE, the Alexandria database).

Lattice parameters (Å, degrees): 7.2458 7.2458 7.6953 118.09 118.09 90.00
Last column: nearest neighbours and their distance in Å.
Positions (direct):
Na 0.8129 0.3129 0.2741  2 Pt 2.97, 2 Na 3.01-3.15, 2 Ag 3.10
Pt 0.2500 0.2500 0.5000  2 Ag 2.87, 8 Na 2.97
Na 0.6871 0.5388 0.7259  2 Pt 2.97, 2 Na 3.01-3.15, 2 Ag 3.10
Na 0.9612 0.8129 0.2741  2 Pt 2.97, 2 Na 3.01-3.15, 2 Ag 3.10
Na 0.0388 0.1871 0.7259  2 Pt 2.97, 2 Na 3.01-3.15, 2 Ag 3.10
Na 0.4612 0.9612 0.2741  2 Pt 2.97, 2 Na 3.01-3.15, 2 Ag 3.10
Ag 0.5000 0.5000 0.0000  2 Pt 2.87, 8 Na 3.10
Na 0.3129 0.4612 0.2741  2 Pt 2.97, 2 Na 3.01-3.15, 2 Ag 3.10
Na 0.1871 0.6871 0.7259  2 Pt 2.97, 2 Na 3.01-3.15, 2 Ag 3.10
Pt 0.7500 0.7500 0.5000  2 Ag 2.87, 8 Na 2.97
Na 0.5388 0.0388 0.7259  2 Pt 2.97, 2 Na 3.01-3.15, 2 Ag 3.10
Ag 0.0000 0.0000 0.0000  2 Pt 2.87, 8 Na 3.10

## Properties
energy relative to the elements: -0.09 eV/atom
E_tot: -2.448 eV per atom
V: 25.12 A^3/atom
total magnetic moment: 0.000 μB per cell
N(E_F): 3.2 states/eV/cell

4.
# NaYMgF6

An optimized crystal structure of NaYMgF6 (PBE, the Alexandria database).

Lattice parameters (Å, degrees): 5.6548 5.6548 9.4802 90.00 90.00 120.00
Last column: nearest neighbours and their distance in Å.
Positions (direct):
F 0.0243 0.3703 0.6368  1 Mg 2.02, 1 Y 2.21
F 0.3460 0.3703 0.8632  1 Mg 2.02, 1 Y 2.21
Mg 0.3333 0.6667 0.7500  6 F 2.02
F 0.3460 0.9757 0.6368  1 Mg 2.02, 1 Y 2.20
Y 0.3333 0.6667 0.2500  6 F 2.20-2.21
F 0.9757 0.6297 0.3632  1 Mg 2.02, 1 Y 2.21
F 0.3703 0.0243 0.1368  1 Mg 2.02, 1 Y 2.20
F 0.0243 0.6540 0.8632  1 Mg 2.02, 1 Y 2.21
F 0.6297 0.6540 0.6368  1 Mg 2.02, 1 Y 2.21
F 0.6540 0.6297 0.1368  1 Mg 2.02, 1 Y 2.21
Na 0.0000 0.0000 0.5000  6 F 2.41
F 0.9757 0.3460 0.1368  1 Mg 2.02, 1 Y 2.21
Y 0.6667 0.3333 0.7500  6 F 2.20-2.21
F 0.3703 0.3460 0.3632  1 Mg 2.02, 1 Y 2.21
F 0.6540 0.0243 0.3632  1 Mg 2.02, 1 Y 2.20
F 0.6297 0.9757 0.8632  1 Mg 2.02, 1 Y 2.20
Na 0.0000 0.0000 0.0000  6 F 2.41
Mg 0.6667 0.3333 0.2500  6 F 2.02

## Properties
ΔE_f (raw): -3.58 eV/atom
E_tot: -5.865 eV per atom
V: 14.58 A^3/atom
total magnetic moment: 0.000 μB per cell
N(E_F): 0.0 states/eV/cell

5.
# Rb2ZnRuO4

An optimized crystal structure of Rb2ZnRuO4 (PBE, the Alexandria database).

Lattice parameters (Å, degrees): 5.7271 5.7271 5.7271 98.73 115.09 115.09
Last column: nearest neighbours and their distance in Å.
Positions (direct):
O 0.6245 0.3611 0.4861  1 Ru 1.91, 1 Zn 2.00
Ru 0.0000 0.5000 0.5000  4 O 1.91
O 0.1249 0.2634 0.6389  1 Ru 1.91, 1 Zn 2.00
O 0.8751 0.5139 0.1384  1 Ru 1.91, 1 Zn 2.00
Rb 0.0000 0.0000 0.0000  4 O 2.89
Zn 0.5000 0.2500 0.7500  4 O 2.00
O 0.3755 0.8616 0.7366  1 Ru 1.91, 1 Zn 2.00
Rb 0.5000 0.7500 0.2500  8 O 2.96-3.20

## Properties
ΔE_f (raw): -1.12 eV/atom
E_tot: -5.163 eV per atom
V: 17.61 A^3/atom
total magnetic moment: 0.000 μB per cell
N(E_F): 2.3 states/eV/cell

Q: Which of these has the lowest N(E_F)?
A: NaYMgF6